# Ba2MoCl4O2

A relaxed Ba2MoCl4O2 crystal (PBE with a Hubbard U, Alexandria via LeMat-Bulk). Values from VASP.

```
&SYSTEM
  ibrav = 0, nat = 9, ntyp = 4
/
ATOMIC_SPECIES
Ba 137.33 Ba.upf
Mo 95.94 Mo.upf
Cl 35.45 Cl.upf
O 16.00 O.upf
CELL_PARAMETERS angstrom
5.472 -3.625 0.000
5.472 3.625 0.000
-1.299 0.000 5.286
ATOMIC_POSITIONS crystal
Ba 0.181 0.181 0.315
Ba 0.819 0.819 0.685
Mo 0.500 0.500 0.000
Cl 0.137 0.666 0.204
Cl 0.334 0.863 0.796
Cl 0.666 0.137 0.204
Cl 0.863 0.334 0.796
O 0.359 0.359 0.728
O 0.641 0.641 0.272
```

Summary:
E_tot ... -45.992 eV/cell
DOS(E_F) ... 0.000 states/eV/atom
Magnetization ... 0.04 μB/f.u.
Volume ... 23.303 Å³/atom